Record 1
A geometry-optimized PmPr2ErS4 structure. Source: Alexandria via LeMat-Bulk, functional PBE.

The calculation puts the formation energy (no corrections) at -16.05 eV per formula unit.

It has space group P2/m (No. 10), with a = 6.963 Å, b = 3.971 Å, c = 7.068 Å, α = 90.00°, β = 108.75° and γ = 90.00°. Symmetry generates all atoms from Pm at (0.000, 0.000, 0.000), Pr at (0.000, 0.500, 0.500), Pr at (0.500, 0.000, 0.500), Er at (0.500, 0.500, 0.000), S at (0.254, 0.500, 0.237) and S at (0.264, 0.000, 0.768).

=====

Record 2
A geometry-optimized La4PaIr4 structure. Source: Alexandria via LeMat-Bulk, functional PBE.

As for the formation energy: -16.9 kcal/mol of atoms.

It has space group C2/m (No. 12), with a = 14.683 Å, b = 4.331 Å, c = 9.153 Å, α = 90.00°, β = 120.16° and γ = 90.00°. Symmetry generates all atoms from La at (0.129, 0.000, 0.369), La at (0.169, 0.500, 0.800), Pa at (0.000, 0.500, 0.000), Ir at (0.096, 0.000, 0.950) and Ir at (0.205, 0.500, 0.243).

=====

Record 3
A geometry-optimized Ti2Si2Se structure. Source: Alexandria via LeMat-Bulk, functional PBE.

The calculation puts the formation energy (no corrections) at -3.15 eV per formula unit.

It has space group I4/mmm (No. 139), with a = 3.431 Å, b = 3.431 Å, c = 13.692 Å, α = 90.00°, β = 90.00° and γ = 90.00°. Symmetry generates all atoms from Ti at (0.000, 0.000, 0.105), Si at (0.000, 0.500, 0.250) and Se at (0.000, 0.000, 0.500).

=====

Record 4
A geometry-optimized ZrRh2W structure. Source: Alexandria via LeMat-Bulk, functional PBE.

As for the formation energy: -2.4 kcal/mol of atoms.

It has space group F-43m (No. 216), with a = 6.387 Å, b = 6.387 Å, c = 6.387 Å, α = 90.00°, β = 90.00° and γ = 90.00°. Symmetry generates all atoms from Zr at (0.000, 0.000, 0.000), Rh at (0.000, 0.000, 0.500), Rh at (0.250, 0.250, 0.750) and W at (0.250, 0.250, 0.250).

=====

Record 5
A geometry-optimized Sm3TmMg structure. Source: Alexandria via LeMat-Bulk, functional PBE.

As for the formation energy: 1.5 kcal/mol of atoms.

It has space group C2/m (No. 12), with a = 22.443 Å, b = 3.521 Å, c = 8.507 Å, α = 90.00°, β = 108.54° and γ = 90.00°. Symmetry generates all atoms from Sm at (0.017, 0.000, 0.223), Sm at (0.122, 0.500, 0.040), Sm at (0.177, 0.000, 0.442), Tm at (0.234, 0.500, 0.819) and Mg at (0.076, 0.500, 0.599).

=====

Record 6
A geometry-optimized PmMgRu structure. Source: Alexandria via LeMat-Bulk, functional PBE.

As for the formation energy: -2.7 kcal/mol of atoms.

It has space group P2_1/m (No. 11), with a = 4.160 Å, b = 4.153 Å, c = 8.847 Å, α = 90.00°, β = 103.45° and γ = 90.00°. Symmetry generates all atoms from Pm at (0.092, 0.250, 0.186), Mg at (0.301, 0.250, 0.598) and Ru at (0.465, 0.250, 0.928).